Entry 1:
Y4InIr | GGA-PBEsol | optimized geometry

Results
energy: -174.7 eV for the cell shown

Cell: 9.534 9.534 9.534 Å, 60.00 60.00 60.00°
Atoms (fractional coordinates):
Y 0.191 0.191 0.809
Y 0.191 0.809 0.191
Y 0.191 0.809 0.809
Y 0.401 0.401 0.401
Y 0.401 0.401 0.798
Y 0.401 0.798 0.401
Y 0.558 0.558 0.942
Y 0.558 0.942 0.558
Y 0.558 0.942 0.942
Y 0.798 0.401 0.401
Y 0.809 0.191 0.191
Y 0.809 0.191 0.809
Y 0.809 0.809 0.191
Y 0.942 0.558 0.558
Y 0.942 0.558 0.942
Y 0.942 0.942 0.558
In 0.167 0.167 0.167
In 0.167 0.167 0.498
In 0.167 0.498 0.167
In 0.498 0.167 0.167
Ir 0.174 0.609 0.609
Ir 0.609 0.174 0.609
Ir 0.609 0.609 0.174
Ir 0.609 0.609 0.609

---

Entry 2:
LaPr3 | GGA-PBEsol | optimized geometry

Results
energy: -20.9 eV for the cell shown

Cell: 5.140 5.140 5.140 Å, 90.00 90.00 90.00°
Atoms (fractional coordinates):
La 0.000 0.000 0.000
Pr 0.000 0.500 0.500
Pr 0.500 0.000 0.500
Pr 0.500 0.500 0.000

---

Entry 3:
TlHgPb2 | GGA-PBEsol | optimized geometry

Results
energy: -11.2 eV for the cell shown

Cell: 3.498 4.482 7.018 Å, 90.00 94.66 90.00°
Atoms (fractional coordinates):
Tl 0.000 0.000 0.000
Hg 0.000 0.000 0.500
Pb 0.475 0.500 0.737
Pb 0.525 0.500 0.263

---

Entry 4:
OsBr2Cl | GGA-PBEsol | optimized geometry

Results
energy: -16.8 eV for the cell shown
energy relative to the elements, uncorrected: 0.2980 eV/atom
polymorph energy (0 for the lowest one): 0.252 eV per atom

Cell: 7.325 7.325 7.325 Å, 29.22 29.22 29.22°
Atoms (fractional coordinates):
Os 0.000 0.000 0.000
Br 0.271 0.271 0.271
Br 0.729 0.729 0.729
Cl 0.500 0.500 0.500

---

Entry 5:
TlCuHg2Pb | GGA-PBEsol | optimized geometry

Results
energy: -9.1 eV for the cell shown

Cell: 5.520 5.520 4.847 Å, 90.00 90.00 90.00°
Atoms (fractional coordinates):
Tl 0.000 0.000 0.000
Cu 0.000 0.000 0.500
Hg 0.000 0.500 0.000
Hg 0.500 0.000 0.000
Pb 0.500 0.500 0.500

---

Entry 6:
BaSr2Cu | GGA-PBEsol | optimized geometry

Results
energy: -9.9 eV for the cell shown
polymorph energy (0 for the lowest one): 0.008 eV per atom

Cell: 3.870 3.870 10.261 Å, 90.00 90.00 90.00°
Atoms (fractional coordinates):
Ba 0.000 0.000 0.000
Sr 0.500 0.500 0.328
Sr 0.500 0.500 0.672
Cu 0.000 0.000 0.500

---

Entry 7:
Ca3TaS | GGA-PBEsol | optimized geometry

Results
energy: -23.0 eV for the cell shown
energy relative to the elements, uncorrected: 0.0643 eV/atom

Cell: 5.280 5.280 5.280 Å, 90.00 90.00 90.00°
Atoms (fractional coordinates):
Ca 0.000 0.000 0.500
Ca 0.000 0.500 0.000
Ca 0.500 0.000 0.000
Ta 0.500 0.500 0.500
S 0.000 0.000 0.000

---

Entry 8:
Sb2OsW | GGA-PBEsol | optimized geometry

Results
energy: -31.3 eV for the cell shown
energy relative to the elements, uncorrected: 0.9521 eV/atom
polymorph energy (0 for the lowest one): 0.372 eV per atom

Cell: 5.327 5.327 5.327 Å, 144.84 120.73 70.82°
Atoms (fractional coordinates):
Sb 0.243 0.243 0.000
Sb 0.757 0.757 0.000
Os 0.000 0.500 0.500
W 0.500 0.000 0.500

---

Entry 9:
YTa3Br | GGA-PBEsol | optimized geometry

Results
energy: -41.3 eV for the cell shown
energy relative to the elements, uncorrected: 1.0054 eV/atom

Cell: 4.760 4.760 4.760 Å, 90.00 90.00 90.00°
Atoms (fractional coordinates):
Y 0.000 0.000 0.000
Ta 0.000 0.500 0.500
Ta 0.500 0.000 0.500
Ta 0.500 0.500 0.000
Br 0.500 0.500 0.500

---

Entry 10:
Ca4Mg4Fe3H22 | GGA-PBEsol | optimized geometry

Results
energy: -130.1 eV for the cell shown

Cell: 6.590 6.590 6.590 Å, 90.00 90.00 90.00°
Atoms (fractional coordinates):
Ca 0.209 0.209 0.209
Ca 0.209 0.791 0.791
Ca 0.791 0.209 0.791
Ca 0.791 0.791 0.209
Mg 0.286 0.286 0.714
Mg 0.286 0.714 0.286
Mg 0.714 0.286 0.286
Mg 0.714 0.714 0.714
Fe 0.000 0.500 0.500
Fe 0.500 0.000 0.500
Fe 0.500 0.500 0.000
H 0.000 0.262 0.500
H 0.000 0.500 0.262
H 0.000 0.500 0.738
H 0.000 0.738 0.500
H 0.124 0.124 0.876
H 0.124 0.876 0.124
H 0.237 0.500 0.500
H 0.262 0.000 0.500
H 0.262 0.500 0.000
H 0.500 0.000 0.262
H 0.500 0.000 0.738
H 0.500 0.237 0.500
H 0.500 0.262 0.000
H 0.500 0.500 0.237
H 0.500 0.500 0.763
H 0.500 0.738 0.000
H 0.500 0.763 0.500
H 0.738 0.000 0.500
H 0.738 0.500 0.000
H 0.763 0.500 0.500
H 0.876 0.124 0.124
H 0.876 0.876 0.876

---

Entry 11:
Zr6Te2Ru | GGA-PBEsol | optimized geometry

Results
energy: -77.5 eV for the cell shown
energy relative to the elements, uncorrected: -0.6329 eV/atom

Cell: 7.795 7.795 3.576 Å, 90.00 90.00 120.00°
Atoms (fractional coordinates):
Zr 0.000 0.405 0.000
Zr 0.000 0.751 0.500
Zr 0.249 0.249 0.500
Zr 0.405 0.000 0.000
Zr 0.595 0.595 0.000
Zr 0.751 0.000 0.500
Te 0.333 0.667 0.500
Te 0.667 0.333 0.500
Ru 0.000 0.000 0.000

---

Entry 12:
NaC3Br | GGA-PBEsol | optimized geometry

Results
energy: -12.3 eV for the cell shown
energy relative to the elements, uncorrected: 3.9711 eV/atom

Cell: 4.331 4.331 4.331 Å, 90.00 90.00 90.00°
Atoms (fractional coordinates):
Na 0.000 0.000 0.000
C 0.000 0.000 0.500
C 0.000 0.500 0.000
C 0.500 0.000 0.000
Br 0.500 0.500 0.500